i | A relaxed structure of KLiPd3, computed with PBE.

Cell and atoms, written as CIF:
```
data_KLiPd3
_cell_length_a 4.575
_cell_length_b 4.575
_cell_length_c 4.575
_cell_angle_alpha 90.00
_cell_angle_beta 90.00
_cell_angle_gamma 90.00
_symmetry_space_group_name_H-M 'P 1'
_symmetry_Int_Tables_number 1
_symmetry_space_group_name_Hall 'P 1'
loop_
_atom_site_label
_atom_site_type_symbol
_atom_site_fract_x
_atom_site_fract_y
_atom_site_fract_z
K1 K 0.000 0.000 0.000
Li1 Li 0.500 0.500 0.500
Pd1 Pd 0.000 0.500 0.500
Pd2 Pd 0.500 0.000 0.500
Pd3 Pd 0.500 0.500 0.000
```

Properties
**D(E_F)**: 1.52 states/eV per cell
**M_tot**: 0.00 μB per atom
**Space-group type**: Pm-3m, No. 221

ii | A relaxed structure of KLiPd3, computed with PBE.

Cell and atoms, written as CIF:
```
data_KLiPd3
_cell_length_a 5.104
_cell_length_b 5.104
_cell_length_c 5.104
_cell_angle_alpha 90.00
_cell_angle_beta 90.00
_cell_angle_gamma 90.00
_symmetry_space_group_name_H-M 'P 1'
_symmetry_Int_Tables_number 1
_symmetry_space_group_name_Hall 'P 1'
loop_
_atom_site_label
_atom_site_type_symbol
_atom_site_fract_x
_atom_site_fract_y
_atom_site_fract_z
K1 K 0.000 0.000 0.000
Li1 Li 0.500 0.500 0.500
Pd1 Pd 0.000 0.000 0.500
Pd2 Pd 0.000 0.500 0.000
Pd3 Pd 0.500 0.000 0.000
```

Properties
**D(E_F)**: 1.57 states/eV per cell
**M_tot**: 0.00 μB per atom
**Space-group type**: Pm-3m, No. 221

Going by the computed energies, the most stable comes first: i, ii.

i | A relaxed structure of KLiPt2, computed with PBE.

Cell and atoms, written as CIF:
```
data_KLiPt2
_cell_length_a 2.905
_cell_length_b 4.847
_cell_length_c 5.073
_cell_angle_alpha 90.00
_cell_angle_beta 90.00
_cell_angle_gamma 90.00
_symmetry_space_group_name_H-M 'P 1'
_symmetry_Int_Tables_number 1
_symmetry_space_group_name_Hall 'P 1'
loop_
_atom_site_label
_atom_site_type_symbol
_atom_site_fract_x
_atom_site_fract_y
_atom_site_fract_z
K1 K 0.000 0.000 0.000
Li1 Li 0.500 0.500 0.000
Pt1 Pt 0.000 0.500 0.500
Pt2 Pt 0.500 0.000 0.500
```

Properties
**D(E_F)**: 1.12 states/eV per cell
**M_tot**: 0.00 μB per atom
**Space-group type**: Pmmm, No. 47

ii | A relaxed structure of KLiPt2, computed with PBE.

Cell and atoms, written as CIF:
```
data_KLiPt2
_cell_length_a 5.170
_cell_length_b 5.170
_cell_length_c 6.052
_cell_angle_alpha 110.65
_cell_angle_beta 110.65
_cell_angle_gamma 32.92
_symmetry_space_group_name_H-M 'P 1'
_symmetry_Int_Tables_number 1
_symmetry_space_group_name_Hall 'P 1'
loop_
_atom_site_label
_atom_site_type_symbol
_atom_site_fract_x
_atom_site_fract_y
_atom_site_fract_z
K1 K 0.000 0.000 0.000
Li1 Li 0.812 0.812 0.283
Pt1 Pt 0.244 0.244 0.558
Pt2 Pt 0.516 0.516 0.539
```

Properties
**D(E_F)**: 0.82 states/eV per cell
**M_tot**: 0.00 μB per atom
**Space-group type**: Cm, No. 8

Going by the computed energies, the most stable comes first: ii, i.

i | A relaxed structure of KLi2SiPt, computed with PBE.

Cell and atoms, written as CIF:
```
data_KLi2SiPt
_cell_length_a 4.863
_cell_length_b 4.863
_cell_length_c 5.943
_cell_angle_alpha 90.00
_cell_angle_beta 90.00
_cell_angle_gamma 90.00
_symmetry_space_group_name_H-M 'P 1'
_symmetry_Int_Tables_number 1
_symmetry_space_group_name_Hall 'P 1'
loop_
_atom_site_label
_atom_site_type_symbol
_atom_site_fract_x
_atom_site_fract_y
_atom_site_fract_z
K1 K 0.000 0.000 0.000
Li1 Li 0.000 0.500 0.500
Li2 Li 0.500 0.000 0.500
Si1 Si 0.500 0.500 0.000
Pt1 Pt 0.000 0.000 0.500
```

Properties
**D(E_F)**: 5.46 states/eV per cell
**M_tot**: 0.21 μB per atom
**Space-group type**: P4/mmm, No. 123

ii | A relaxed structure of KLi2SiPt, computed with PBE.

Cell and atoms, written as CIF:
```
data_KLi2SiPt
_cell_length_a 5.046
_cell_length_b 5.046
_cell_length_c 4.571
_cell_angle_alpha 90.00
_cell_angle_beta 90.00
_cell_angle_gamma 90.00
_symmetry_space_group_name_H-M 'P 1'
_symmetry_Int_Tables_number 1
_symmetry_space_group_name_Hall 'P 1'
loop_
_atom_site_label
_atom_site_type_symbol
_atom_site_fract_x
_atom_site_fract_y
_atom_site_fract_z
K1 K 0.000 0.000 0.000
Li1 Li 0.000 0.500 0.500
Li2 Li 0.500 0.000 0.500
Si1 Si 0.500 0.500 0.000
Pt1 Pt 0.500 0.500 0.500
```

Properties
**D(E_F)**: 0.97 states/eV per cell
**M_tot**: 0.00 μB per atom
**Space-group type**: P4/mmm, No. 123

Going by the computed energies, the most stable comes first: ii, i.